Density functional theory data (GGA-PBE) for a relaxed structure of TmTc2PC.

```
10
Lattice="-3.435 -0.094 -1.523 2.363 -5.352 -0.361 -2.778 -1.656 6.366" Properties=species:S:1:pos:R:3 pbc="T T T"
Tm -1.491 -6.197 3.744
Tm -2.359 -0.905 0.738
Tc -2.396 -3.380 5.612
Tc -1.454 -3.722 -1.131
Tc -1.335 -2.747 3.179
Tc -2.515 -4.355 1.302
P -3.499 -3.819 3.487
P -0.351 -3.283 0.995
C 0.000 0.000 0.000
C -1.389 -0.828 3.183
```

The calculation puts the density of states at the Fermi level at 0.776 states/eV/atom. The magnetization comes out at 0.00 Bohr magnetons per cell. The calculation puts the final energy at -8.581 eV/atom. The symmetry is Cmcm (63).


Density functional theory data (GGA-PBE) for a relaxed structure of Tm2Tc2P2C.

```
7
Lattice="-0.832 0.391 -3.619 -6.170 -0.157 -2.450 -4.863 5.599 -0.203" Properties=species:S:1:pos:R:3 pbc="T T T"
Tm -4.461 4.201 -2.371
Tm -7.404 1.632 -3.900
Tc -7.375 5.017 -3.541
Tc -4.490 0.816 -2.731
P -4.761 2.361 -4.428
P -7.104 3.471 -1.844
C 0.000 0.000 0.000
```

The calculation puts the density of states at the Fermi level at 0.515 states/eV/atom. The magnetization comes out at 0.00 Bohr magnetons per cell. The calculation puts the final energy at -7.830 eV/atom. The symmetry is C2/m (12).


- Which value of magnetization does entry 1 give?
  0.00 Bohr magnetons per cell